# FeSnTeSe2, optimized geometry, DFT PBE-GGA
# Energy relative to the elements, uncorrected   0.1940 eV/atom
# E   -21.61 eV for the cell shown
# Volume   122.3 Å³/f.u.
data_FeSnTeSe2
_chemical_formula_sum 'Fe1 Sn1 Te1 Se2'
_cell_length_a 4.694
_cell_length_b 4.694
_cell_length_c 5.551
_cell_angle_alpha 90.00
_cell_angle_beta 90.00
_cell_angle_gamma 90.00
_space_group_name_H-M_alt 'P 4/m m m'
_space_group_IT_number 123
_space_group_name_Hall '-P 4 2'
loop_
_atom_site_label
_atom_site_type_symbol
_atom_site_fract_x
_atom_site_fract_y
_atom_site_fract_z
Fe1 Fe 0.000 0.000 0.000
Sn1 Sn 0.500 0.500 0.500
Te1 Te 0.000 0.000 0.500
Se1 Se 0.000 0.500 0.000